No. 1
The following is a meta-GGA SCAN calculation of a PBEsol-optimized structure of ZrAl2Hg, from Alexandria via LeMat-Bulk.

Summary:
DOS(E_F): 1.12 states/eV per cell
Total energy: -1.0680 Ha/atom
Calculated density: 7.99 g cm⁻³
Total magnetic moment: 0.0000 μB/atom
ΔH_f (0 K): -0.470 eV per atom

a b c (Å): 4.226 4.226 4.024
angles (deg): 90.00 90.00 90.00
Space group P4/mmm (No. 123)
Inequivalent atoms, fractional coordinates:
Zr 0.000 0.000 0.000 x1
Al 0.000 0.500 0.500 x2
Hg 0.500 0.500 0.000 x1

No. 2
The following is a meta-GGA SCAN calculation of a PBEsol-optimized structure of TcNiP, from Alexandria via LeMat-Bulk.

Summary:
DOS(E_F): 7.37 states/eV per cell
Total energy: -0.7726 Ha/atom
Calculated density: 8.08 g cm⁻³
Total magnetic moment: 0.0006 μB/atom
Offset from the most stable computed form: 0 meV per atom
ΔH_f (0 K): -0.479 eV per atom

a b c (Å): 5.364 5.364 5.364
angles (deg): 90.00 90.00 90.00
Space group F-43m (No. 216)
Inequivalent atoms, fractional coordinates:
Tc 0.000 0.000 0.000 x4
Ni 0.000 0.000 0.500 x4
P 0.250 0.250 0.250 x4

No. 3
The following is a meta-GGA SCAN calculation of a PBEsol-optimized structure of BaTa2As, from Alexandria via LeMat-Bulk.

Summary:
DOS(E_F): 7.15 states/eV per cell
Total energy: -1.7532 Ha/atom
Calculated density: 10.73 g cm⁻³
Total magnetic moment: 0.0000 μB/atom
ΔH_f (0 K): 0.520 eV per atom

a b c (Å): 2.888 5.466 11.258
angles (deg): 90.00 90.00 90.00
Space group Immm (No. 71)
Inequivalent atoms, fractional coordinates:
Ba 0.000 0.000 0.000 x2
Ta 0.000 0.500 0.206 x4
As 0.000 0.000 0.500 x2

No. 4
The following is a meta-GGA SCAN calculation of a PBEsol-optimized structure of MnMo2, from Alexandria via LeMat-Bulk.

Summary:
DOS(E_F): 4.82 states/eV per cell
Total energy: -1.0555 Ha/atom
Calculated density: 8.98 g cm⁻³
Total magnetic moment: 0.0000 μB/atom
ΔH_f (0 K): 0.619 eV per atom

a b c (Å): 3.528 4.506 5.741
angles (deg): 90.00 90.00 90.00
Space group Immm (No. 71)
Inequivalent atoms, fractional coordinates:
Mn 0.000 0.000 0.000 x2
Mo 0.000 0.500 0.223 x4

No. 5
The following is a meta-GGA SCAN calculation of a PBEsol-optimized structure of SrAl2Cu, from Alexandria via LeMat-Bulk.

Summary:
DOS(E_F): 4.44 states/eV per cell
Total energy: -0.4969 Ha/atom
Calculated density: 3.81 g cm⁻³
Total magnetic moment: 0.0001 μB/atom
ΔH_f (0 K): -0.277 eV per atom

a b c (Å): 4.2590 4.2590 17.0708
angles (deg): 90.00 90.00 120.00
Space group R3m (No. 160, hexagonal axes)
Inequivalent atoms, fractional coordinates:
Sr 0.0000 0.0000 0.0000 x3
Al 0.0000 0.0000 0.5300 x3
Al 0.0000 0.0000 0.8004 x3
Cu 0.0000 0.0000 0.1846 x3

No. 6
The following is a meta-GGA SCAN calculation of a PBEsol-optimized structure of BaPdIO2, from Alexandria via LeMat-Bulk.

Summary:
Formation energy without anion corrections: -136.3 meV/atom
DOS(E_F): 3.42 states/eV per cell
Total energy: -0.8982 Ha/atom
Calculated density: 5.01 g cm⁻³
Total magnetic moment: 0.0978 μB/atom

a b c (Å): 4.278 4.278 7.292
angles (deg): 90.00 90.00 90.00
Space group P4/mmm (No. 123)
Inequivalent atoms, fractional coordinates:
Ba 0.000 0.000 0.000 x1
Pd 0.500 0.500 0.500 x1
I 0.000 0.000 0.500 x1
O 0.000 0.500 0.000 x2